Entry 1:
DyTm8Th2 after structural relaxation. Source: Alexandria, functional PBE.

Output
Total moment: 0.0 μB per cell
Formation energy: 0.19 eV per atom
Offset from the most stable computed form: 0.000 eV per atom

Cell lengths 8.888, 8.888, 6.565 Å; angles 99.15, 99.15, 42.91 degrees
Atoms (fractional coordinates):
Dy: 0.000 0.000 0.000
Tm: 0.174 0.654 0.596
Tm: 0.200 0.200 0.816
Tm: 0.346 0.826 0.404
Tm: 0.410 0.410 0.095
Tm: 0.590 0.590 0.905
Tm: 0.654 0.174 0.596
Tm: 0.800 0.800 0.184
Tm: 0.826 0.346 0.404
Th: 0.248 0.248 0.335
Th: 0.752 0.752 0.665


Entry 2:
Li2Cd3Ag4 after structural relaxation. Source: Alexandria, functional PBE.

Output
Total moment: 0.0 μB per cell
Formation energy: -0.17 eV per atom
Offset from the most stable computed form: 0.000 eV per atom

Cell lengths 3.967, 5.130, 9.174 Å; angles 74.01, 89.95, 67.39 degrees
Atoms (fractional coordinates):
Li: 0.170 0.160 0.217
Li: 0.830 0.840 0.783
Cd: 0.166 0.168 0.565
Cd: 0.500 0.500 0.000
Cd: 0.834 0.832 0.435
Ag: 0.169 0.162 0.887
Ag: 0.493 0.517 0.674
Ag: 0.507 0.483 0.326
Ag: 0.831 0.838 0.113


Entry 3:
AlGaHg after structural relaxation. Source: Alexandria, functional PBE.

Output
Total moment: 0.0 μB per cell
Formation energy: 0.08 eV per atom

Cell lengths 4.379, 4.706, 6.571 Å; angles 84.50, 72.73, 89.35 degrees
Atoms (fractional coordinates):
Al: 0.200 0.061 0.125
Al: 0.800 0.939 0.875
Ga: 0.307 0.591 0.871
Ga: 0.693 0.409 0.129
Hg: 0.229 0.251 0.534
Hg: 0.771 0.749 0.466


Entry 4:
MnNi14Ge after structural relaxation. Source: Alexandria, functional PBE.

Output
Total moment: 10.3 μB per cell
Formation energy: -0.07 eV per atom

Cell lengths 5.026, 5.026, 7.056 Å; angles 90.00, 90.00, 90.00 degrees
Atoms (fractional coordinates):
Mn: 0.000 0.000 0.000
Ni: 0.000 0.000 0.500
Ni: 0.000 0.500 0.000
Ni: 0.000 0.500 0.500
Ni: 0.250 0.250 0.254
Ni: 0.250 0.250 0.746
Ni: 0.250 0.750 0.254
Ni: 0.250 0.750 0.746
Ni: 0.500 0.000 0.000
Ni: 0.500 0.000 0.500
Ni: 0.500 0.500 0.500
Ni: 0.750 0.250 0.254
Ni: 0.750 0.250 0.746
Ni: 0.750 0.750 0.254
Ni: 0.750 0.750 0.746
Ge: 0.500 0.500 0.000


Entry 5:
Mg2VSi2 after structural relaxation. Source: Alexandria, functional PBE.

Output
Total moment: 4.7 μB per cell
Raw formation energy: -2.97 kJ per mole of atoms

Cell lengths 6.596, 6.596, 3.991 Å; angles 90.00, 90.00, 90.00 degrees
Atoms (fractional coordinates):
Mg: 0.177 0.323 0.000
Mg: 0.323 0.823 0.000
Mg: 0.677 0.177 0.000
Mg: 0.823 0.677 0.000
V: 0.000 0.000 0.500
V: 0.500 0.500 0.500
Si: 0.128 0.628 0.500
Si: 0.372 0.128 0.500
Si: 0.628 0.872 0.500
Si: 0.872 0.372 0.500


Entry 6:
KHfN2O after structural relaxation. Source: Alexandria, functional PBE.

Output
Total moment: 3.0 μB per cell
Raw formation energy: -65.99 kJ per mole of atoms

Cell lengths 4.386, 4.386, 4.132 Å; angles 90.00, 90.00, 90.00 degrees
Atoms (fractional coordinates):
K: 0.000 0.000 0.000
Hf: 0.500 0.500 0.500
N: 0.000 0.500 0.500
N: 0.500 0.000 0.500
O: 0.500 0.500 0.000


Entry 7:
PaHg after structural relaxation. Source: Alexandria, functional PBE.

Output
Total moment: 0.0 μB per cell
Formation energy: 0.07 eV per atom
Offset from the most stable computed form: 0.000 eV per atom

Cell lengths 11.398, 11.398, 11.398 Å; angles 16.02, 16.02, 16.02 degrees
Atoms (fractional coordinates):
Pa: 0.123 0.123 0.123
Pa: 0.877 0.877 0.877
Hg: 0.373 0.373 0.373
Hg: 0.627 0.627 0.627


Entry 8:
BaLi2SmBr8 after structural relaxation. Source: Alexandria, functional PBE.

Output
Total moment: 1.1 μB per cell
Raw formation energy: -148.14 kJ per mole of atoms

Cell lengths 7.063, 7.063, 9.280 Å; angles 90.00, 90.00, 120.00 degrees
Atoms (fractional coordinates):
Ba: 0.000 0.000 0.000
Li: 0.333 0.667 0.733
Li: 0.667 0.333 0.267
Sm: 0.000 0.000 0.500
Br: 0.012 0.695 0.303
Br: 0.305 0.317 0.303
Br: 0.317 0.012 0.697
Br: 0.333 0.667 0.002
Br: 0.667 0.333 0.998
Br: 0.683 0.988 0.303
Br: 0.695 0.683 0.697
Br: 0.988 0.305 0.697


Entry 9:
ZrGa2Pd2 after structural relaxation. Source: Alexandria, functional PBE.

Output
Total moment: 0.0 μB per cell
Formation energy: -0.57 eV per atom
Offset from the most stable computed form: 0.061 eV per atom

Cell lengths 6.140, 6.140, 6.140 Å; angles 142.27, 142.27, 54.42 degrees
Atoms (fractional coordinates):
Zr: 0.000 0.000 0.000
Ga: 0.391 0.391 0.000
Ga: 0.609 0.609 0.000
Pd: 0.250 0.750 0.500
Pd: 0.750 0.250 0.500